# 1
# CaMnFe2 PBE relaxed
data_CaMnFe2
_symmetry_space_group_name_H-M 'P m m m'
_symmetry_Int_Tables_number 47
_symmetry_space_group_name_Hall '-P 2 2'
_cell_length_a 3.124
_cell_length_b 3.151
_cell_length_c 6.510
_cell_angle_alpha 90.00
_cell_angle_beta 90.00
_cell_angle_gamma 90.00
loop_
_atom_site_label
_atom_site_fract_x
_atom_site_fract_y
_atom_site_fract_z
_atom_site_occupancy
Ca1 0.000 0.000 0.000 1
Mn1 0.000 0.000 0.500 1
Fe1 0.500 0.500 0.328 1
# Calculated density (g/cm3): 5.36
# ΔE to the lowest computed polymorph (meV per atom): 97
# Spin magnetization (μB/f.u.): 6.04
# ΔH_f (0 K) (meV/atom): 446

***

# 2
# Y3Ag2Pb PBE relaxed
data_Y3Ag2Pb
_symmetry_space_group_name_H-M 'C m m m'
_symmetry_Int_Tables_number 65
_symmetry_space_group_name_Hall '-C 2 2'
_cell_length_a 5.203
_cell_length_b 15.867
_cell_length_c 3.738
_cell_angle_alpha 90.00
_cell_angle_beta 90.00
_cell_angle_gamma 90.00
loop_
_atom_site_label
_atom_site_fract_x
_atom_site_fract_y
_atom_site_fract_z
_atom_site_occupancy
Y1 0.000 0.000 0.000 1
Y2 0.000 0.328 0.000 1
Ag1 0.000 0.172 0.500 1
Pb1 0.000 0.500 0.500 1
# Calculated density (g/cm3): 7.42
# Spin magnetization (μB/f.u.): 0.00
# ΔH_f (0 K) (meV/atom): -373

***

# 3
# Y2NCl PBE relaxed
data_Y2NCl
_symmetry_space_group_name_H-M 'I -4 2 d'
_symmetry_Int_Tables_number 122
_symmetry_space_group_name_Hall 'I -4 2bw'
_cell_length_a 5.929
_cell_length_b 5.929
_cell_length_c 11.061
_cell_angle_alpha 90.00
_cell_angle_beta 90.00
_cell_angle_gamma 90.00
loop_
_atom_site_label
_atom_site_fract_x
_atom_site_fract_y
_atom_site_fract_z
_atom_site_occupancy
Y1 0.172 0.250 0.125 1
N1 0.000 0.000 0.000 1
Cl1 0.000 0.000 0.500 1
# Calculated density (g/cm3): 3.88
# Formation energy from raw total energies (eV/f.u.): -5.13
# Spin magnetization (μB/f.u.): 1.52

***

# 4
# TiCdIn2Cl PBE relaxed
data_TiCdIn2Cl
_symmetry_space_group_name_H-M 'P 4/m m m'
_symmetry_Int_Tables_number 123
_symmetry_space_group_name_Hall '-P 4 2'
_cell_length_a 5.541
_cell_length_b 5.541
_cell_length_c 4.496
_cell_angle_alpha 90.00
_cell_angle_beta 90.00
_cell_angle_gamma 90.00
loop_
_atom_site_label
_atom_site_fract_x
_atom_site_fract_y
_atom_site_fract_z
_atom_site_occupancy
Ti1 0.000 0.000 0.000 1
Cd1 0.500 0.500 0.000 1
In1 0.000 0.500 0.500 1
Cl1 0.000 0.000 0.500 1
# Calculated density (g/cm3): 5.12
# Formation energy from raw total energies (eV/f.u.): 1.71
# Spin magnetization (μB/f.u.): 0.00

***

# 5
# LiPmIr4 PBE relaxed
data_LiPmIr4
_symmetry_space_group_name_H-M 'F -4 3 m'
_symmetry_Int_Tables_number 216
_symmetry_space_group_name_Hall 'F -4 2 3'
_cell_length_a 7.506
_cell_length_b 7.506
_cell_length_c 7.506
_cell_angle_alpha 90.00
_cell_angle_beta 90.00
_cell_angle_gamma 90.00
loop_
_atom_site_label
_atom_site_fract_x
_atom_site_fract_y
_atom_site_fract_z
_atom_site_occupancy
Li1 0.000 0.000 0.000 1
Pm1 0.250 0.250 0.250 1
Ir1 0.125 0.125 0.625 1
# Calculated density (g/cm3): 14.46
# Spin magnetization (μB/f.u.): 0.00
# ΔH_f (0 K) (meV/atom): -409

***

# 6
# Be2SbOs PBE relaxed
data_Be2SbOs
_symmetry_space_group_name_H-M 'R -3 m'
_symmetry_Int_Tables_number 166
_symmetry_space_group_name_Hall '-R 3 2"'
_cell_length_a 3.0201
_cell_length_b 3.0201
_cell_length_c 22.3613
_cell_angle_alpha 90.00
_cell_angle_beta 90.00
_cell_angle_gamma 120.00
loop_
_atom_site_label
_atom_site_fract_x
_atom_site_fract_y
_atom_site_fract_z
_atom_site_occupancy
Be1 0.0000 0.0000 0.2382 1
Sb1 0.0000 0.0000 0.0000 1
Os1 0.0000 0.0000 0.5000 1
# Calculated density (g/cm3): 9.31
# Formation energy from raw total energies (eV/f.u.): 2.04
# Spin magnetization (μB/f.u.): 0.00

***

# 7
# Na4B7C PBE relaxed
data_Na4B7C
_symmetry_space_group_name_H-M 'C 1 2 1'
_symmetry_Int_Tables_number 5
_symmetry_space_group_name_Hall 'C 2y'
_cell_length_a 17.571
_cell_length_b 5.112
_cell_length_c 6.003
_cell_angle_alpha 90.00
_cell_angle_beta 99.84
_cell_angle_gamma 90.00
loop_
_atom_site_label
_atom_site_fract_x
_atom_site_fract_y
_atom_site_fract_z
_atom_site_occupancy
Na1 0.124 0.000 0.061 1
Na2 0.124 0.500 0.812 1
Na3 0.125 0.000 0.562 1
Na4 0.125 0.500 0.313 1
B1 0.000 0.167 0.251 1
B2 0.000 0.333 0.000 1
B3 0.000 0.333 0.500 1
B4 0.000 0.667 0.000 1
B5 0.000 0.667 0.500 1
B6 0.000 0.833 0.250 1
B7 0.250 0.164 0.385 1
B8 0.250 0.197 0.859 1
B9 0.250 0.316 0.122 1
C1 0.250 0.323 0.618 1
# Calculated density (g/cm3): 2.25
# ΔE to the lowest computed polymorph (meV per atom): 27
# Spin magnetization (μB/f.u.): 0.00
# ΔH_f (0 K) (meV/atom): 249

***

# 8
# KInAu2 PBE relaxed
data_KInAu2
_symmetry_space_group_name_H-M 'I -4 m 2'
_symmetry_Int_Tables_number 119
_symmetry_space_group_name_Hall 'I -4 -2'
_cell_length_a 4.517
_cell_length_b 4.517
_cell_length_c 9.617
_cell_angle_alpha 90.00
_cell_angle_beta 90.00
_cell_angle_gamma 90.00
loop_
_atom_site_label
_atom_site_fract_x
_atom_site_fract_y
_atom_site_fract_z
_atom_site_occupancy
K1 0.000 0.000 0.000 1
In1 0.000 0.500 0.250 1
Au1 0.000 0.000 0.500 1
Au2 0.000 0.500 0.750 1
# Calculated density (g/cm3): 9.27
# Spin magnetization (μB/f.u.): 0.00
# ΔH_f (0 K) (meV/atom): -41

***

Question: Among the records above, which one has the highest spin magnetization?
Answer: CaMnFe2

***

Question: spin magnetization of number 7 (Na4B7C)?
Answer: 0.00 μB/f.u.

***

Question: Which formula does entry 1 have?
Answer: CaMnFe2